[1]
TiFeH | PBE-GGA | relaxed

Properties
* E_tot: -6.8966 eV per atom
* spin magnetization: 0.00 Bohr magnetons per cell
* distance to the lowest polymorph of the same formula: 0 meV/atom

Geometry as CIF:
```
data_TiFeH
_chemical_formula_sum 'Ti2 Fe2 H2'
_space_group_name_H-M_alt 'P m m a'
_space_group_IT_number 51
_space_group_name_Hall '-P 2a 2a'
_cell_length_a 4.257
_cell_length_b 2.906
_cell_length_c 4.555
_cell_angle_alpha 90.00
_cell_angle_beta 90.00
_cell_angle_gamma 90.00
loop_
_atom_site_label
_atom_site_fract_x
_atom_site_fract_y
_atom_site_fract_z
_atom_site_occupancy
Ti1 0.250 0.000 0.248 1
Fe1 0.250 0.500 0.802 1
H1 0.000 0.500 0.500 1
```


[2]
Ti2Fe2H3 | PBE-GGA | relaxed

Properties
* E_tot: -6.3773 eV per atom
* spin magnetization: 1.61 Bohr magnetons per cell

Geometry as CIF:
```
data_Ti2Fe2H3
_chemical_formula_sum 'Ti4 Fe4 H6'
_space_group_name_H-M_alt 'C m m m'
_space_group_IT_number 65
_space_group_name_Hall '-C 2 2'
_cell_length_a 5.744
_cell_length_b 6.113
_cell_length_c 3.359
_cell_angle_alpha 90.00
_cell_angle_beta 90.00
_cell_angle_gamma 90.00
loop_
_atom_site_label
_atom_site_fract_x
_atom_site_fract_y
_atom_site_fract_z
_atom_site_occupancy
Ti1 0.249 0.000 0.000 1
Fe1 0.000 0.226 0.500 1
H1 0.000 0.243 0.000 1
H2 0.000 0.500 0.500 1
```


[3]
TiFeH | PBE-GGA | relaxed

Properties
* E_tot: -6.5209 eV per atom
* spin magnetization: 0.00 Bohr magnetons per cell
* distance to the lowest polymorph of the same formula: 376 meV/atom

Geometry as CIF:
```
data_TiFeH
_chemical_formula_sum 'Ti1 Fe1 H1'
_space_group_name_H-M_alt 'P 3 m 1'
_space_group_IT_number 156
_space_group_name_Hall 'P 3 -2"'
_cell_length_a 3.4127
_cell_length_b 3.4127
_cell_length_c 2.9714
_cell_angle_alpha 90.00
_cell_angle_beta 90.00
_cell_angle_gamma 120.00
loop_
_atom_site_label
_atom_site_fract_x
_atom_site_fract_y
_atom_site_fract_z
_atom_site_occupancy
Ti1 0.0000 0.0000 0.0000 1
Fe1 0.3333 0.6667 0.5375 1
H1 0.6667 0.3333 0.5716 1
```


[4]
Ti4FeH | PBE-GGA | relaxed

Properties
* E_tot: -7.3525 eV per atom
* spin magnetization: 0.00 Bohr magnetons per cell

Geometry as CIF:
```
data_Ti4FeH
_chemical_formula_sum 'Ti8 Fe2 H2'
_space_group_name_H-M_alt 'P 1 21/c 1'
_space_group_IT_number 14
_space_group_name_Hall '-P 2ybc'
_cell_length_a 5.227
_cell_length_b 5.672
_cell_length_c 5.566
_cell_angle_alpha 90.00
_cell_angle_beta 99.27
_cell_angle_gamma 90.00
loop_
_atom_site_label
_atom_site_fract_x
_atom_site_fract_y
_atom_site_fract_z
_atom_site_occupancy
Ti1 0.139 0.164 0.164 1
Ti2 0.325 0.641 0.104 1
Fe1 0.500 0.000 0.000 1
H1 0.000 0.000 0.500 1
```


[5]
Ti12Fe3H5 | PBE-GGA | relaxed

Properties
* E_tot: -6.9190 eV per atom
* spin magnetization: 0.00 Bohr magnetons per cell

Geometry as CIF:
```
data_Ti12Fe3H5
_chemical_formula_sum 'Ti96 Fe24 H40'
_space_group_name_H-M_alt 'I a -3 d'
_space_group_IT_number 230
_space_group_name_Hall '-I 4bd 2c 3'
_cell_length_a 12.726
_cell_length_b 12.726
_cell_length_c 12.726
_cell_angle_alpha 90.00
_cell_angle_beta 90.00
_cell_angle_gamma 90.00
loop_
_atom_site_label
_atom_site_fract_x
_atom_site_fract_y
_atom_site_fract_z
_atom_site_occupancy
Ti1 0.033 0.061 0.652 1
Fe1 0.000 0.250 0.125 1
H1 0.000 0.000 0.000 1
H2 0.000 0.250 0.375 1
```


[6]
TiFe2H2 | PBE-GGA | relaxed

Properties
* E_tot: -6.4426 eV per atom
* spin magnetization: 6.14 Bohr magnetons per cell
* distance to the lowest polymorph of the same formula: 0 meV/atom

Geometry as CIF:
```
data_TiFe2H2
_chemical_formula_sum 'Ti2 Fe4 H4'
_space_group_name_H-M_alt 'I 4/m m m'
_space_group_IT_number 139
_space_group_name_Hall '-I 4 2'
_cell_length_a 3.140
_cell_length_b 3.140
_cell_length_c 8.695
_cell_angle_alpha 90.00
_cell_angle_beta 90.00
_cell_angle_gamma 90.00
loop_
_atom_site_label
_atom_site_fract_x
_atom_site_fract_y
_atom_site_fract_z
_atom_site_occupancy
Ti1 0.000 0.000 0.000 1
Fe1 0.000 0.000 0.343 1
H1 0.000 0.500 0.250 1
```


[7]
Ti2FeH2 | PBE-GGA | relaxed

Properties
* E_tot: -6.6110 eV per atom
* spin magnetization: 0.00 Bohr magnetons per cell
* distance to the lowest polymorph of the same formula: 0 meV/atom

Geometry as CIF:
```
data_Ti2FeH2
_chemical_formula_sum 'Ti4 Fe2 H4'
_space_group_name_H-M_alt 'I 4/m m m'
_space_group_IT_number 139
_space_group_name_Hall '-I 4 2'
_cell_length_a 2.925
_cell_length_b 2.925
_cell_length_c 11.060
_cell_angle_alpha 90.00
_cell_angle_beta 90.00
_cell_angle_gamma 90.00
loop_
_atom_site_label
_atom_site_fract_x
_atom_site_fract_y
_atom_site_fract_z
_atom_site_occupancy
Ti1 0.000 0.000 0.137 1
Fe1 0.000 0.000 0.500 1
H1 0.000 0.500 0.250 1
```


[8]
TiFe2H | PBE-GGA | relaxed

Properties
* E_tot: -6.7852 eV per atom
* spin magnetization: 12.47 Bohr magnetons per cell

Geometry as CIF:
```
data_TiFe2H
_chemical_formula_sum 'Ti3 Fe6 H3'
_space_group_name_H-M_alt 'R -3 m'
_space_group_IT_number 166
_space_group_name_Hall '-R 3 2"'
_cell_length_a 2.6315
_cell_length_b 2.6315
_cell_length_c 21.2885
_cell_angle_alpha 90.00
_cell_angle_beta 90.00
_cell_angle_gamma 120.00
loop_
_atom_site_label
_atom_site_fract_x
_atom_site_fract_y
_atom_site_fract_z
_atom_site_occupancy
Ti1 0.0000 0.0000 0.0000 1
Fe1 0.0000 0.0000 0.1139 1
H1 0.0000 0.0000 0.5000 1
```


[9]
TiFe2H2 | PBE-GGA | relaxed

Properties
* E_tot: -5.7939 eV per atom
* spin magnetization: 6.15 Bohr magnetons per cell
* distance to the lowest polymorph of the same formula: 649 meV/atom

Geometry as CIF:
```
data_TiFe2H2
_chemical_formula_sum 'Ti2 Fe4 H4'
_space_group_name_H-M_alt 'P 4/m b m'
_space_group_IT_number 127
_space_group_name_Hall '-P 4 2ab'
_cell_length_a 6.176
_cell_length_b 6.176
_cell_length_c 2.472
_cell_angle_alpha 90.00
_cell_angle_beta 90.00
_cell_angle_gamma 90.00
loop_
_atom_site_label
_atom_site_fract_x
_atom_site_fract_y
_atom_site_fract_z
_atom_site_occupancy
Ti1 0.000 0.000 0.000 1
Fe1 0.129 0.371 0.000 1
H1 0.118 0.618 0.500 1
```


[10]
Ti2FeH6 | PBE-GGA | relaxed

Properties
* E_tot: -5.2271 eV per atom
* spin magnetization: 2.87 Bohr magnetons per cell

Geometry as CIF:
```
data_Ti2FeH6
_chemical_formula_sum 'Ti4 Fe2 H12'
_space_group_name_H-M_alt 'I m m m'
_space_group_IT_number 71
_space_group_name_Hall '-I 2 2'
_cell_length_a 3.029
_cell_length_b 4.238
_cell_length_c 9.192
_cell_angle_alpha 90.00
_cell_angle_beta 90.00
_cell_angle_gamma 90.00
loop_
_atom_site_label
_atom_site_fract_x
_atom_site_fract_y
_atom_site_fract_z
_atom_site_occupancy
Ti1 0.000 0.000 0.164 1
Fe1 0.000 0.000 0.500 1
H1 0.000 0.235 0.339 1
H2 0.000 0.275 0.000 1
```


[11]
TiFe3H | PBE-GGA | relaxed

Properties
* E_tot: -5.5352 eV per atom
* spin magnetization: 5.17 Bohr magnetons per cell
* distance to the lowest polymorph of the same formula: 1915 meV/atom

Geometry as CIF:
```
data_TiFe3H
_chemical_formula_sum 'Ti1 Fe3 H1'
_space_group_name_H-M_alt 'P m -3 m'
_space_group_IT_number 221
_space_group_name_Hall '-P 4 2 3'
_cell_length_a 4.366
_cell_length_b 4.366
_cell_length_c 4.366
_cell_angle_alpha 90.00
_cell_angle_beta 90.00
_cell_angle_gamma 90.00
loop_
_atom_site_label
_atom_site_fract_x
_atom_site_fract_y
_atom_site_fract_z
_atom_site_occupancy
Ti1 0.000 0.000 0.000 1
Fe1 0.000 0.000 0.500 1
H1 0.500 0.500 0.500 1
```


[12]
Ti3FeH4 | PBE-GGA | relaxed

Properties
* E_tot: -5.9402 eV per atom
* spin magnetization: 0.00 Bohr magnetons per cell

Geometry as CIF:
```
data_Ti3FeH4
_chemical_formula_sum 'Ti6 Fe2 H8'
_space_group_name_H-M_alt 'P m n 21'
_space_group_IT_number 31
_space_group_name_Hall 'P 2ac -2'
_cell_length_a 5.438
_cell_length_b 5.360
_cell_length_c 4.905
_cell_angle_alpha 90.00
_cell_angle_beta 90.00
_cell_angle_gamma 90.00
loop_
_atom_site_label
_atom_site_fract_x
_atom_site_fract_y
_atom_site_fract_z
_atom_site_occupancy
Ti1 0.000 0.111 0.000 1
Ti2 0.249 0.365 0.519 1
Fe1 0.000 0.835 0.525 1
H1 0.000 0.132 0.609 1
H2 0.000 0.813 0.193 1
H3 0.243 0.698 0.644 1
```